(1)
Tm3Hg2Ru after structural relaxation, computed with PBE.

Results
- DOS(E_F): 0.5387 states/eV/atom
- Formation energy from the elements: -3.0 eV/f.u.
- Calculated density: 12.28 g/cm³

```
data_Tm3Hg2Ru
_space_group_name_H-M_alt 'P 1'
_space_group_IT_number 1
_space_group_name_Hall 'P 1'
_cell_length_a 7.841
_cell_length_b 7.841
_cell_length_c 7.370
_cell_angle_alpha 90.00
_cell_angle_beta 90.00
_cell_angle_gamma 142.96
loop_
_atom_site_label
_atom_site_fract_x
_atom_site_fract_y
_atom_site_fract_z
_atom_site_occupancy
Tm1 0.000 0.000 0.234 1
Tm2 0.000 0.000 0.766 1
Tm3 0.326 0.674 0.224 1
Tm4 0.326 0.674 0.776 1
Tm5 0.674 0.326 0.224 1
Tm6 0.674 0.326 0.776 1
Hg1 0.166 0.834 0.500 1
Hg2 0.500 0.500 0.000 1
Hg3 0.500 0.500 0.500 1
Hg4 0.834 0.166 0.500 1
Ru1 0.166 0.834 0.000 1
Ru2 0.834 0.166 0.000 1
```

(2)
Tm6Hg2Ru after structural relaxation, computed with PBE.

Results
- DOS(E_F): 1.1471 states/eV/atom
- Formation energy from the elements: -1.9 eV/f.u.
- Calculated density: 9.90 g/cm³

```
data_Tm6Hg2Ru
_space_group_name_H-M_alt 'P 1'
_space_group_IT_number 1
_space_group_name_Hall 'P 1'
_cell_length_a 8.437
_cell_length_b 8.437
_cell_length_c 8.437
_cell_angle_alpha 145.45
_cell_angle_beta 131.03
_cell_angle_gamma 61.31
loop_
_atom_site_label
_atom_site_fract_x
_atom_site_fract_y
_atom_site_fract_z
_atom_site_occupancy
Tm1 0.086 0.343 0.743 1
Tm2 0.232 0.000 0.232 1
Tm3 0.399 0.657 0.743 1
Tm4 0.601 0.343 0.257 1
Tm5 0.768 0.000 0.768 1
Tm6 0.914 0.657 0.257 1
Hg1 0.334 0.834 0.500 1
Hg2 0.666 0.166 0.500 1
Ru1 0.000 0.500 0.500 1
```

(3)
Tm6HgRu after structural relaxation, computed with PBE.

Results
- DOS(E_F): 1.2141 states/eV/atom
- Formation energy from the elements: -0.6 eV/f.u.
- Calculated density: 9.25 g/cm³

```
data_Tm6HgRu
_space_group_name_H-M_alt 'P 1'
_space_group_IT_number 1
_space_group_name_Hall 'P 1'
_cell_length_a 6.543
_cell_length_b 6.543
_cell_length_c 6.552
_cell_angle_alpha 101.26
_cell_angle_beta 101.26
_cell_angle_gamma 115.26
loop_
_atom_site_label
_atom_site_fract_x
_atom_site_fract_y
_atom_site_fract_z
_atom_site_occupancy
Tm1 0.027 0.401 0.241 1
Tm2 0.231 0.231 0.764 1
Tm3 0.401 0.027 0.241 1
Tm4 0.599 0.973 0.759 1
Tm5 0.769 0.769 0.236 1
Tm6 0.973 0.599 0.759 1
Hg1 0.500 0.500 0.500 1
Ru1 0.000 0.000 0.000 1
```

(4)
Tm2HgRu after structural relaxation, computed with PBE.

Results
- E above lowest polymorph: 1.00 eV/f.u.
- DOS(E_F): 1.0791 states/eV/atom
- Formation energy from the elements: -1.2 eV/f.u.
- Calculated density: 11.17 g/cm³

```
data_Tm2HgRu
_space_group_name_H-M_alt 'P 1'
_space_group_IT_number 1
_space_group_name_Hall 'P 1'
_cell_length_a 8.635
_cell_length_b 8.635
_cell_length_c 8.635
_cell_angle_alpha 24.19
_cell_angle_beta 24.19
_cell_angle_gamma 24.19
loop_
_atom_site_label
_atom_site_fract_x
_atom_site_fract_y
_atom_site_fract_z
_atom_site_occupancy
Tm1 0.238 0.238 0.238 1
Tm2 0.762 0.762 0.762 1
Hg1 0.000 0.000 0.000 1
Ru1 0.500 0.500 0.500 1
```

(5)
Tm5HgRu4 after structural relaxation, computed with PBE.

Results
- DOS(E_F): 0.7864 states/eV/atom
- Formation energy from the elements: -4.8 eV/f.u.
- Calculated density: 11.99 g/cm³

```
data_Tm5HgRu4
_space_group_name_H-M_alt 'P 1'
_space_group_IT_number 1
_space_group_name_Hall 'P 1'
_cell_length_a 3.383
_cell_length_b 3.383
_cell_length_c 17.541
_cell_angle_alpha 90.00
_cell_angle_beta 90.00
_cell_angle_gamma 90.00
loop_
_atom_site_label
_atom_site_fract_x
_atom_site_fract_y
_atom_site_fract_z
_atom_site_occupancy
Tm1 0.000 0.000 0.000 1
Tm2 0.000 0.000 0.189 1
Tm3 0.000 0.000 0.378 1
Tm4 0.000 0.000 0.622 1
Tm5 0.000 0.000 0.811 1
Hg1 0.500 0.500 0.500 1
Ru1 0.500 0.500 0.096 1
Ru2 0.500 0.500 0.289 1
Ru3 0.500 0.500 0.711 1
Ru4 0.500 0.500 0.904 1
```

(6)
TmZrHgRu after structural relaxation, computed with PBE.

Results
- E above lowest polymorph: 0.63 eV/f.u.
- DOS(E_F): 0.8226 states/eV/atom
- Formation energy from the elements: -1.2 eV/f.u.
- Calculated density: 11.31 g/cm³

```
data_TmZrHgRu
_space_group_name_H-M_alt 'P 1'
_space_group_IT_number 1
_space_group_name_Hall 'P 1'
_cell_length_a 4.886
_cell_length_b 4.886
_cell_length_c 4.886
_cell_angle_alpha 60.00
_cell_angle_beta 60.00
_cell_angle_gamma 60.00
loop_
_atom_site_label
_atom_site_fract_x
_atom_site_fract_y
_atom_site_fract_z
_atom_site_occupancy
Tm1 0.000 0.000 0.000 1
Zr1 0.500 0.500 0.500 1
Hg1 0.750 0.750 0.750 1
Ru1 0.250 0.250 0.250 1
```

(7)
TmZrHgRu after structural relaxation, computed with PBE.

Results
- E above lowest polymorph: 0.00 eV/f.u.
- DOS(E_F): 0.5426 states/eV/atom
- Formation energy from the elements: -1.8 eV/f.u.
- Calculated density: 11.17 g/cm³

```
data_TmZrHgRu
_space_group_name_H-M_alt 'P 1'
_space_group_IT_number 1
_space_group_name_Hall 'P 1'
_cell_length_a 3.323
_cell_length_b 3.323
_cell_length_c 7.563
_cell_angle_alpha 90.00
_cell_angle_beta 90.00
_cell_angle_gamma 90.00
loop_
_atom_site_label
_atom_site_fract_x
_atom_site_fract_y
_atom_site_fract_z
_atom_site_occupancy
Tm1 0.000 0.000 0.000 1
Zr1 0.000 0.000 0.562 1
Hg1 0.500 0.500 0.287 1
Ru1 0.500 0.500 0.762 1
```

(8)
UHgRu2 after structural relaxation, computed with PBE.

Results
- E above lowest polymorph: 0.00 eV/f.u.
- DOS(E_F): 0.5318 states/eV/atom
- Formation energy from the elements: -0.4 eV/f.u.
- Calculated density: 15.12 g/cm³

```
data_UHgRu2
_space_group_name_H-M_alt 'P 1'
_space_group_IT_number 1
_space_group_name_Hall 'P 1'
_cell_length_a 4.383
_cell_length_b 4.383
_cell_length_c 3.663
_cell_angle_alpha 90.00
_cell_angle_beta 90.00
_cell_angle_gamma 90.00
loop_
_atom_site_label
_atom_site_fract_x
_atom_site_fract_y
_atom_site_fract_z
_atom_site_occupancy
U1 0.000 0.000 0.000 1
Hg1 0.500 0.500 0.000 1
Ru1 0.000 0.500 0.500 1
Ru2 0.500 0.000 0.500 1
```

(9)
UHgRu2 after structural relaxation, computed with PBE.

Results
- E above lowest polymorph: 0.27 eV/f.u.
- DOS(E_F): 1.0522 states/eV/atom
- Formation energy from the elements: -0.1 eV/f.u.
- Calculated density: 14.41 g/cm³

```
data_UHgRu2
_space_group_name_H-M_alt 'P 1'
_space_group_IT_number 1
_space_group_name_Hall 'P 1'
_cell_length_a 3.374
_cell_length_b 3.374
_cell_length_c 6.487
_cell_angle_alpha 90.00
_cell_angle_beta 90.00
_cell_angle_gamma 90.00
loop_
_atom_site_label
_atom_site_fract_x
_atom_site_fract_y
_atom_site_fract_z
_atom_site_occupancy
U1 0.000 0.000 0.000 1
Hg1 0.000 0.000 0.500 1
Ru1 0.500 0.500 0.215 1
Ru2 0.500 0.500 0.785 1
```

(10)
V2HgRu after structural relaxation, computed with PBE.

Results
- DOS(E_F): 1.0943 states/eV/atom
- Formation energy from the elements: 2.0 eV/f.u.
- Calculated density: 9.91 g/cm³

```
data_V2HgRu
_space_group_name_H-M_alt 'P 1'
_space_group_IT_number 1
_space_group_name_Hall 'P 1'
_cell_length_a 5.685
_cell_length_b 5.685
_cell_length_c 5.685
_cell_angle_alpha 103.09
_cell_angle_beta 103.09
_cell_angle_gamma 123.16
loop_
_atom_site_label
_atom_site_fract_x
_atom_site_fract_y
_atom_site_fract_z
_atom_site_occupancy
V1 0.077 0.625 0.952 1
V2 0.375 0.327 0.452 1
V3 0.673 0.125 0.048 1
V4 0.875 0.923 0.548 1
Hg1 0.250 0.750 0.500 1
Hg2 0.500 0.500 0.000 1
Ru1 0.000 0.000 0.000 1
Ru2 0.750 0.250 0.500 1
```

(11)
VHg2Ru after structural relaxation, computed with PBE.

Results
- DOS(E_F): 1.1154 states/eV/atom
- Formation energy from the elements: 2.2 eV/f.u.
- Calculated density: 13.22 g/cm³

```
data_VHg2Ru
_space_group_name_H-M_alt 'P 1'
_space_group_IT_number 1
_space_group_name_Hall 'P 1'
_cell_length_a 4.614
_cell_length_b 4.614
_cell_length_c 4.614
_cell_angle_alpha 60.00
_cell_angle_beta 60.00
_cell_angle_gamma 60.00
loop_
_atom_site_label
_atom_site_fract_x
_atom_site_fract_y
_atom_site_fract_z
_atom_site_occupancy
V1 0.000 0.000 0.000 1
Hg1 0.250 0.250 0.250 1
Hg2 0.750 0.750 0.750 1
Ru1 0.500 0.500 0.500 1
```

(12)
VHgRu2 after structural relaxation, computed with PBE.

Results
- DOS(E_F): 1.3140 states/eV/atom
- Formation energy from the elements: 3.0 eV/f.u.
- Calculated density: 10.74 g/cm³

```
data_VHgRu2
_space_group_name_H-M_alt 'P 1'
_space_group_IT_number 1
_space_group_name_Hall 'P 1'
_cell_length_a 9.215
_cell_length_b 9.215
_cell_length_c 9.215
_cell_angle_alpha 154.93
_cell_angle_beta 154.93
_cell_angle_gamma 35.75
loop_
_atom_site_label
_atom_site_fract_x
_atom_site_fract_y
_atom_site_fract_z
_atom_site_occupancy
V1 0.000 0.000 0.000 1
V2 0.750 0.250 0.500 1
Hg1 0.250 0.750 0.500 1
Hg2 0.500 0.500 0.000 1
Ru1 0.058 0.625 0.933 1
Ru2 0.375 0.308 0.433 1
Ru3 0.692 0.125 0.067 1
Ru4 0.875 0.942 0.567 1
```

(13)
VHgRu2 after structural relaxation, computed with PBE.

Results
- DOS(E_F): 1.1527 states/eV/atom
- Formation energy from the elements: 0.3 eV/f.u.
- Calculated density: 12.07 g/cm³

```
data_VHgRu2
_space_group_name_H-M_alt 'P 1'
_space_group_IT_number 1
_space_group_name_Hall 'P 1'
_cell_length_a 2.990
_cell_length_b 2.990
_cell_length_c 6.979
_cell_angle_alpha 90.00
_cell_angle_beta 90.00
_cell_angle_gamma 90.00
loop_
_atom_site_label
_atom_site_fract_x
_atom_site_fract_y
_atom_site_fract_z
_atom_site_occupancy
V1 0.000 0.000 0.000 1
Hg1 0.000 0.000 0.500 1
Ru1 0.500 0.500 0.205 1
Ru2 0.500 0.500 0.795 1
```

(14)
VHgRu3 after structural relaxation, computed with PBE.

Results
- DOS(E_F): 1.6466 states/eV/atom
- Formation energy from the elements: 5.4 eV/f.u.
- Calculated density: 10.20 g/cm³

```
data_VHgRu3
_space_group_name_H-M_alt 'P 1'
_space_group_IT_number 1
_space_group_name_Hall 'P 1'
_cell_length_a 4.486
_cell_length_b 4.486
_cell_length_c 4.486
_cell_angle_alpha 90.00
_cell_angle_beta 90.00
_cell_angle_gamma 90.00
loop_
_atom_site_label
_atom_site_fract_x
_atom_site_fract_y
_atom_site_fract_z
_atom_site_occupancy
V1 0.000 0.000 0.000 1
Hg1 0.500 0.500 0.500 1
Ru1 0.000 0.000 0.500 1
Ru2 0.000 0.500 0.000 1
Ru3 0.500 0.000 0.000 1
```

(15)
VHgRu2W after structural relaxation, computed with PBE.

Results
- DOS(E_F): 1.2026 states/eV/atom
- Formation energy from the elements: 8.2 eV/f.u.
- Calculated density: 11.42 g/cm³

```
data_VHgRu2W
_space_group_name_H-M_alt 'P 1'
_space_group_IT_number 1
_space_group_name_Hall 'P 1'
_cell_length_a 4.345
_cell_length_b 4.345
_cell_length_c 4.909
_cell_angle_alpha 90.00
_cell_angle_beta 90.00
_cell_angle_gamma 90.00
loop_
_atom_site_label
_atom_site_fract_x
_atom_site_fract_y
_atom_site_fract_z
_atom_site_occupancy
V1 0.000 0.000 0.000 1
Hg1 0.000 0.000 0.500 1
Ru1 0.000 0.500 0.000 1
Ru2 0.500 0.000 0.000 1
W1 0.500 0.500 0.500 1
```

(16)
Hg2RuW after structural relaxation, computed with PBE.

Results
- E above lowest polymorph: 2.16 eV/f.u.
- DOS(E_F): 1.1654 states/eV/atom
- Formation energy from the elements: 3.5 eV/f.u.
- Calculated density: 15.99 g/cm³

```
data_Hg2RuW
_space_group_name_H-M_alt 'P 1'
_space_group_IT_number 1
_space_group_name_Hall 'P 1'
_cell_length_a 5.213
_cell_length_b 5.213
_cell_length_c 2.919
_cell_angle_alpha 90.00
_cell_angle_beta 90.00
_cell_angle_gamma 116.08
loop_
_atom_site_label
_atom_site_fract_x
_atom_site_fract_y
_atom_site_fract_z
_atom_site_occupancy
Hg1 0.000 0.500 0.000 1
Hg2 0.500 0.000 0.000 1
Ru1 0.000 0.000 0.500 1
W1 0.500 0.500 0.500 1
```

(17)
Hg2RuW after structural relaxation, computed with PBE.

Results
- E above lowest polymorph: 1.36 eV/f.u.
- DOS(E_F): 0.9131 states/eV/atom
- Formation energy from the elements: 2.7 eV/f.u.
- Calculated density: 15.16 g/cm³

```
data_Hg2RuW
_space_group_name_H-M_alt 'P 1'
_space_group_IT_number 1
_space_group_name_Hall 'P 1'
_cell_length_a 5.884
_cell_length_b 5.884
_cell_length_c 5.884
_cell_angle_alpha 150.75
_cell_angle_beta 130.48
_cell_angle_gamma 58.56
loop_
_atom_site_label
_atom_site_fract_x
_atom_site_fract_y
_atom_site_fract_z
_atom_site_occupancy
Hg1 0.000 0.000 0.000 1
Hg2 0.715 0.215 0.500 1
Ru1 0.260 0.760 0.500 1
W1 0.450 0.450 0.000 1
```

(18)
Hg2RuW after structural relaxation, computed with PBE.

Results
- E above lowest polymorph: 1.70 eV/f.u.
- DOS(E_F): 1.1691 states/eV/atom
- Formation energy from the elements: 3.0 eV/f.u.
- Calculated density: 16.13 g/cm³

```
data_Hg2RuW
_space_group_name_H-M_alt 'P 1'
_space_group_IT_number 1
_space_group_name_Hall 'P 1'
_cell_length_a 5.049
_cell_length_b 5.049
_cell_length_c 5.003
_cell_angle_alpha 100.15
_cell_angle_beta 100.15
_cell_angle_gamma 34.31
loop_
_atom_site_label
_atom_site_fract_x
_atom_site_fract_y
_atom_site_fract_z
_atom_site_occupancy
Hg1 0.248 0.248 0.247 1
Hg2 0.752 0.752 0.753 1
Ru1 0.500 0.500 0.000 1
W1 0.000 0.000 0.500 1
```

(19)
HgRu3W after structural relaxation, computed with PBE.

Results
- E above lowest polymorph: 6.88 eV/f.u.
- DOS(E_F): 1.4501 states/eV/atom
- Formation energy from the elements: 14.5 eV/f.u.
- Calculated density: 10.67 g/cm³

```
data_HgRu3W
_space_group_name_H-M_alt 'P 1'
_space_group_IT_number 1
_space_group_name_Hall 'P 1'
_cell_length_a 4.747
_cell_length_b 4.747
_cell_length_c 4.747
_cell_angle_alpha 90.00
_cell_angle_beta 90.00
_cell_angle_gamma 90.00
loop_
_atom_site_label
_atom_site_fract_x
_atom_site_fract_y
_atom_site_fract_z
_atom_site_occupancy
Hg1 0.000 0.000 0.000 1
Ru1 0.000 0.000 0.500 1
Ru2 0.000 0.500 0.000 1
Ru3 0.500 0.000 0.000 1
W1 0.500 0.500 0.500 1
```

(20)
Hg2RuW after structural relaxation, computed with PBE.

Results
- E above lowest polymorph: 2.27 eV/f.u.
- DOS(E_F): 1.0600 states/eV/atom
- Formation energy from the elements: 3.6 eV/f.u.
- Calculated density: 15.99 g/cm³

```
data_Hg2RuW
_space_group_name_H-M_alt 'P 1'
_space_group_IT_number 1
_space_group_name_Hall 'P 1'
_cell_length_a 3.971
_cell_length_b 3.971
_cell_length_c 4.518
_cell_angle_alpha 90.00
_cell_angle_beta 90.00
_cell_angle_gamma 90.00
loop_
_atom_site_label
_atom_site_fract_x
_atom_site_fract_y
_atom_site_fract_z
_atom_site_occupancy
Hg1 0.000 0.500 0.000 1
Hg2 0.500 0.000 0.000 1
Ru1 0.000 0.000 0.500 1
W1 0.500 0.500 0.500 1
```